No. 1
The following is a PBEsol calculation of a geometry-optimized Te2MoBr structure, from Alexandria via LeMat-Bulk.

Lattice parameters (Å, degrees): 3.173 5.004 12.601 90.00 90.00 90.00
Space group Immm (No. 71)
One atom of each set of equivalent atoms:
Te: 0.000 0.000 0.174 [4 per cell]
Mo: 0.000 0.500 0.500 [2 per cell]
Br: 0.000 0.500 0.000 [2 per cell]

## Properties
The distance to the lowest polymorph of the same formula is 0.2536 eV/atom. The total energy comes out at -39.49 eV for the cell shown. The total magnetic moment is 0.0 μB per cell. The value obtained for the formation energy without anion corrections is 0.236 eV/atom.

No. 2
The following is a PBEsol calculation of a geometry-optimized Ga2SnGeS6 structure, from Alexandria via LeMat-Bulk.

Lattice parameters (Å, degrees): 7.163 44.517 11.679 90.00 90.00 90.00
Space group Fdd2 (No. 43)
One atom of each set of equivalent atoms:
Ga: 0.012 0.184 0.000 [16 per cell]
Ga: 0.029 0.134 0.229 [16 per cell]
Sn: 0.039 0.326 0.099 [16 per cell]
Ge: 0.000 0.000 0.312 [8 per cell]
Ge: 0.000 0.000 0.801 [8 per cell]
S: 0.000 0.143 0.890 [16 per cell]
S: 0.003 0.459 0.704 [16 per cell]
S: 0.008 0.255 0.176 [16 per cell]
S: 0.014 0.371 0.921 [16 per cell]
S: 0.020 0.040 0.684 [16 per cell]
S: 0.094 0.182 0.186 [16 per cell]

## Properties
The total energy comes out at -755.93 eV for the cell shown. The total magnetic moment is 0.0 μB per cell. The value obtained for the formation energy without anion corrections is -0.506 eV/atom.

No. 3
The following is a PBEsol calculation of a geometry-optimized LiZn2Rh structure, from Alexandria via LeMat-Bulk.

Lattice parameters (Å, degrees): 3.691 3.691 7.591 90.00 90.00 90.00
Space group I-4m2 (No. 119)
One atom of each set of equivalent atoms:
Li: 0.000 0.000 0.000 [2 per cell]
Zn: 0.000 0.000 0.500 [2 per cell]
Zn: 0.000 0.500 0.750 [2 per cell]
Rh: 0.000 0.500 0.250 [2 per cell]

## Properties
The distance to the lowest polymorph of the same formula is 0.0756 eV/atom. The total energy comes out at -29.04 eV for the cell shown. Its formation energy is -0.313 eV/atom. The total magnetic moment is 0.0 μB per cell.

No. 4
The following is a PBEsol calculation of a geometry-optimized CoReIr3 structure, from Alexandria via LeMat-Bulk.

Lattice parameters (Å, degrees): 4.661 4.661 4.661 90.00 90.00 90.00
Space group Pm-3m (No. 221)
One atom of each set of equivalent atoms:
Co: 0.000 0.000 0.000 [1 per cell]
Re: 0.500 0.500 0.500 [1 per cell]
Ir: 0.000 0.500 0.500 [3 per cell]

## Properties
The total energy comes out at -39.34 eV for the cell shown. Its formation energy is 2.241 eV/atom. The total magnetic moment is 2.3 μB per cell.

No. 5
The following is a PBEsol calculation of a geometry-optimized Al7Ag structure, from Alexandria via LeMat-Bulk.

Lattice parameters (Å, degrees): 9.014 4.010 8.061 90.00 116.57 90.00
Space group C2/m (No. 12)
One atom of each set of equivalent atoms:
Al: 0.000 0.000 0.000 [2 per cell]
Al: 0.002 0.500 0.753 [4 per cell]
Al: 0.249 0.000 0.375 [4 per cell]
Al: 0.249 0.500 0.125 [4 per cell]
Ag: 0.000 0.000 0.500 [2 per cell]

## Properties
The distance to the lowest polymorph of the same formula is 0.0269 eV/atom. The total energy comes out at -63.77 eV for the cell shown. Its formation energy is 0.008 eV/atom. The total magnetic moment is 0.0 μB per cell.

No. 6
The following is a PBEsol calculation of a geometry-optimized La4MnTl structure, from Alexandria via LeMat-Bulk.

Lattice parameters (Å, degrees): 8.992 8.992 8.992 90.00 90.00 90.00
Space group F-43m (No. 216)
One atom of each set of equivalent atoms:
La: 0.125 0.125 0.125 [16 per cell]
Mn: 0.250 0.250 0.750 [4 per cell]
Tl: 0.000 0.000 0.500 [4 per cell]

## Properties
The total energy comes out at -123.15 eV for the cell shown. Its formation energy is 0.498 eV/atom. The total magnetic moment is 15.9 μB per cell.

No. 7
The following is a PBEsol calculation of a geometry-optimized Ni2SnPIr structure, from Alexandria via LeMat-Bulk.

Lattice parameters (Å, degrees): 4.149 4.149 4.497 90.00 90.00 90.00
Space group P4/mmm (No. 123)
One atom of each set of equivalent atoms:
Ni: 0.000 0.500 0.000 [2 per cell]
Sn: 0.000 0.000 0.500 [1 per cell]
P: 0.500 0.500 0.000 [1 per cell]
Ir: 0.500 0.500 0.500 [1 per cell]

## Properties
The total energy comes out at -31.67 eV for the cell shown. Its formation energy is 0.104 eV/atom. The total magnetic moment is 0.0 μB per cell.

No. 8
The following is a PBEsol calculation of a geometry-optimized KTlSb2 structure, from Alexandria via LeMat-Bulk.

Lattice parameters (Å, degrees): 3.341 5.357 6.805 90.00 90.00 90.00
Space group Pmmm (No. 47)
One atom of each set of equivalent atoms:
K: 0.000 0.000 0.000 [1 per cell]
Tl: 0.000 0.000 0.500 [1 per cell]
Sb: 0.500 0.500 0.286 [2 per cell]

## Properties
The distance to the lowest polymorph of the same formula is 0.0168 eV/atom. The total energy comes out at -13.45 eV for the cell shown. The total magnetic moment is 0.0 μB per cell. The value obtained for the formation energy without anion corrections is -0.142 eV/atom.

What did the fourth record say?
The following is a PBEsol calculation of a geometry-optimized CoReIr3 structure, from Alexandria via LeMat-Bulk.

Lattice parameters (Å, degrees): 4.661 4.661 4.661 90.00 90.00 90.00
Space group Pm-3m (No. 221)
One atom of each set of equivalent atoms:
Co: 0.000 0.000 0.000 [1 per cell]
Re: 0.500 0.500 0.500 [1 per cell]
Ir: 0.000 0.500 0.500 [3 per cell]

## Properties
The total energy comes out at -39.34 eV for the cell shown. Its formation energy is 2.241 eV/atom. The total magnetic moment is 2.3 μB per cell.